This record from Alexandria describes Be2CuW after structural relaxation. The functional is PBE.

abc: 4.813 4.813 4.813
angles: 148.44 124.92 64.88
Positions (direct):
Be  0.231  0.231  0.000
Be  0.769  0.769  0.000
Cu  0.000  0.500  0.500
W  0.500  0.000  0.500

Properties
**Spin magnetization**: 0.0 μB per cell

---

This record from Alexandria describes IrRuPb2 after structural relaxation. The functional is PBE.

abc: 5.458 5.458 5.285
angles: 106.60 106.60 32.31
Positions (direct):
Ir  0.000  0.000  0.000
Ru  0.319  0.319  0.666
Pb  0.561  0.561  0.529
Pb  0.762  0.762  0.153

Properties
**Spin magnetization**: 0.0 μB per cell

---

This record from Alexandria describes Ba2PuAg2O6 after structural relaxation. The functional is PBE.

abc: 6.662 6.662 6.662
angles: 58.50 58.50 58.50
Positions (direct):
Ba  0.215  0.215  0.215
Ba  0.785  0.785  0.785
Pu  0.000  0.000  0.000
Ag  0.415  0.415  0.415
Ag  0.585  0.585  0.585
O  0.200  0.777  0.777
O  0.223  0.223  0.800
O  0.223  0.800  0.223
O  0.777  0.200  0.777
O  0.777  0.777  0.200
O  0.800  0.223  0.223

Properties
**Spin magnetization**: 2.0 μB per cell
**Uncorrected formation energy**: -1.8811 eV/atom

---

This record from Alexandria describes PmPrN after structural relaxation. The functional is PBE.

abc: 3.638 3.638 12.569
angles: 90.00 90.00 120.00
Positions (direct):
Pm  0.000  0.000  0.229
Pm  0.000  0.000  0.771
Pr  0.667  0.333  0.000
Pr  0.667  0.333  0.500
N  0.333  0.667  0.133
N  0.333  0.667  0.867

Properties
**Spin magnetization**: 1.1 μB per cell
**Uncorrected formation energy**: -0.8807 eV/atom

---

This record from Alexandria describes Ga2Sn2Rh after structural relaxation. The functional is PBE.

abc: 6.964 6.964 4.551
angles: 90.00 90.00 90.00
Positions (direct):
Ga  0.162  0.338  0.000
Ga  0.338  0.838  0.000
Ga  0.662  0.162  0.000
Ga  0.838  0.662  0.000
Sn  0.155  0.655  0.500
Sn  0.345  0.155  0.500
Sn  0.655  0.845  0.500
Sn  0.845  0.345  0.500
Rh  0.000  0.000  0.500
Rh  0.500  0.500  0.500

Properties
**Spin magnetization**: 0.0 μB per cell

---

This record from Alexandria describes FeBSb2S after structural relaxation. The functional is PBE.

abc: 5.320 5.320 4.074
angles: 90.00 90.00 90.00
Positions (direct):
Fe  0.000  0.000  0.000
B  0.500  0.500  0.000
Sb  0.000  0.500  0.500
Sb  0.500  0.000  0.500
S  0.000  0.000  0.500

Properties
**Spin magnetization**: 2.1 μB per cell
**Uncorrected formation energy**: 1.3036 eV/atom

---

This record from Alexandria describes Si2Se after structural relaxation. The functional is PBE.

abc: 4.708 4.708 7.830
angles: 96.91 96.91 71.26
Positions (direct):
Si  0.077  0.644  0.911
Si  0.356  0.923  0.089
Si  0.644  0.077  0.911
Si  0.923  0.356  0.089
Se  0.326  0.326  0.687
Se  0.674  0.674  0.313

Properties
**Spin magnetization**: 0.0 μB per cell
**Uncorrected formation energy**: -0.0744 eV/atom

---

Calculated values (eV per atom) of uncorrected energy for the records, taken in order: -5.784, -5.868, -6.757, -6.833, -4.219, -4.199, -4.851.